Material: BaSrZn
Method: DFT, meta-GGA SCAN
State: PBEsol geometry

Cell lengths 3.974, 3.974, 14.341 Å; angles 90.00, 90.00, 90.00 degrees
Element x y z (fractional)
Ba (0.000, 0.000, 0.000)
Ba (0.500, 0.500, 0.500)
Sr (0.000, 0.000, 0.261)
Sr (0.500, 0.500, 0.761)
Zn (0.000, 0.000, 0.639)
Zn (0.500, 0.500, 0.139)

Values from the calculation:
DFT total energy	-25.266	eV/atom


Material: Ba2SrZn
Method: DFT, meta-GGA SCAN
State: PBEsol geometry

Cell lengths 4.032, 4.032, 10.462 Å; angles 90.00, 90.00, 90.00 degrees
Element x y z (fractional)
Ba (0.000, 0.000, 0.000)
Ba (0.500, 0.500, 0.333)
Sr (0.000, 0.000, 0.648)
Zn (0.500, 0.500, 0.813)

Values from the calculation:
DFT total energy	-28.807	eV/atom


Material: Ba2SrZn
Method: DFT, meta-GGA SCAN
State: PBEsol geometry

Cell lengths 4.096, 4.096, 10.340 Å; angles 90.00, 90.00, 90.00 degrees
Element x y z (fractional)
Ba (0.000, 0.000, 0.181)
Ba (0.000, 0.000, 0.819)
Sr (0.500, 0.500, 0.500)
Zn (0.500, 0.500, 0.000)

Values from the calculation:
DFT total energy	-28.823	eV/atom


Material: BaSr2Zr
Method: DFT, meta-GGA SCAN
State: PBEsol geometry

Cell lengths 7.548, 11.237, 3.679 Å; angles 90.00, 90.00, 90.00 degrees
Element x y z (fractional)
Ba (0.000, 0.000, 0.000)
Ba (0.500, 0.500, 0.000)
Sr (0.250, 0.250, 0.500)
Sr (0.250, 0.750, 0.500)
Sr (0.750, 0.250, 0.500)
Sr (0.750, 0.750, 0.500)
Zr (0.000, 0.500, 0.000)
Zr (0.500, 0.000, 0.000)

Values from the calculation:
DFT total energy	-28.127	eV/atom


Material: Ba2SrZr
Method: DFT, meta-GGA SCAN
State: PBEsol geometry

Cell lengths 8.688, 8.688, 8.688 Å; angles 90.00, 90.00, 90.00 degrees
Element x y z (fractional)
Ba (0.250, 0.250, 0.250)
Ba (0.250, 0.250, 0.750)
Ba (0.250, 0.750, 0.250)
Ba (0.250, 0.750, 0.750)
Ba (0.750, 0.250, 0.250)
Ba (0.750, 0.250, 0.750)
Ba (0.750, 0.750, 0.250)
Ba (0.750, 0.750, 0.750)
Sr (0.000, 0.000, 0.000)
Sr (0.000, 0.500, 0.500)
Sr (0.500, 0.000, 0.500)
Sr (0.500, 0.500, 0.000)
Zr (0.000, 0.000, 0.500)
Zr (0.000, 0.500, 0.000)
Zr (0.500, 0.000, 0.000)
Zr (0.500, 0.500, 0.500)

Values from the calculation:
relative energy among the computed polymorphs	0.000	eV/atom


Material: Ba2SrZr
Method: DFT, meta-GGA SCAN
State: PBEsol geometry

Cell lengths 7.729, 10.880, 3.778 Å; angles 90.00, 90.00, 90.00 degrees
Element x y z (fractional)
Ba (0.250, 0.250, 0.000)
Ba (0.250, 0.750, 0.000)
Ba (0.750, 0.250, 0.000)
Ba (0.750, 0.750, 0.000)
Sr (0.000, 0.000, 0.500)
Sr (0.500, 0.500, 0.500)
Zr (0.000, 0.500, 0.500)
Zr (0.500, 0.000, 0.500)

Values from the calculation:
relative energy among the computed polymorphs	0.008	eV/atom


Material: BaSrZr2
Method: DFT, meta-GGA SCAN
State: PBEsol geometry

Cell lengths 3.257, 6.008, 6.616 Å; angles 90.00, 103.22, 90.00 degrees
Element x y z (fractional)
Ba (0.000, 0.000, 0.000)
Sr (0.500, 0.000, 0.500)
Zr (0.325, 0.500, 0.702)
Zr (0.675, 0.500, 0.298)

Values from the calculation:
DFT total energy	-30.082	eV/atom


Material: BaSrZr
Method: DFT, meta-GGA SCAN
State: PBEsol geometry

Cell lengths 3.628, 3.628, 16.856 Å; angles 90.00, 90.00, 90.00 degrees
Element x y z (fractional)
Ba (0.000, 0.000, 0.000)
Ba (0.500, 0.500, 0.500)
Sr (0.000, 0.000, 0.705)
Sr (0.500, 0.500, 0.205)
Zr (0.000, 0.000, 0.352)
Zr (0.500, 0.500, 0.852)

Values from the calculation:
DFT total energy	-30.256	eV/atom


Material: Ba2Sr2Zr
Method: DFT, meta-GGA SCAN
State: PBEsol geometry

Cell lengths 4.696, 4.696, 20.175 Å; angles 90.00, 90.00, 90.00 degrees
Element x y z (fractional)
Ba (0.000, 0.500, 0.250)
Ba (0.000, 0.500, 0.750)
Ba (0.500, 0.000, 0.250)
Ba (0.500, 0.000, 0.750)
Sr (0.000, 0.000, 0.086)
Sr (0.000, 0.000, 0.914)
Sr (0.500, 0.500, 0.414)
Sr (0.500, 0.500, 0.586)
Zr (0.000, 0.000, 0.500)
Zr (0.500, 0.500, 0.000)

Values from the calculation:
DFT total energy	-30.070	eV/atom


Material: Ba2Ta
Method: DFT, meta-GGA SCAN
State: PBEsol geometry

Cell lengths 17.663, 3.499, 7.479 Å; angles 90.00, 106.43, 90.00 degrees
Element x y z (fractional)
Ba (0.110, 0.000, 0.069)
Ba (0.161, 0.000, 0.615)
Ba (0.339, 0.500, 0.385)
Ba (0.390, 0.500, 0.931)
Ba (0.610, 0.500, 0.069)
Ba (0.661, 0.500, 0.615)
Ba (0.839, 0.000, 0.385)
Ba (0.890, 0.000, 0.931)
Ta (0.002, 0.500, 0.335)
Ta (0.498, 0.000, 0.665)
Ta (0.502, 0.000, 0.335)
Ta (0.998, 0.500, 0.665)

Values from the calculation:
DFT total energy	-47.696	eV/atom


Material: BaTa3
Method: DFT, meta-GGA SCAN
State: PBEsol geometry

Cell lengths 3.187, 3.187, 10.144 Å; angles 90.00, 90.00, 120.00 degrees
Element x y z (fractional)
Ba (0.000, 0.000, 0.000)
Ta (0.000, 0.000, 0.500)
Ta (0.333, 0.667, 0.298)
Ta (0.333, 0.667, 0.702)

Values from the calculation:
relative energy among the computed polymorphs	0.000	eV/atom


Material: BaTa3
Method: DFT, meta-GGA SCAN
State: PBEsol geometry

Cell lengths 5.080, 5.080, 5.080 Å; angles 90.00, 90.00, 90.00 degrees
Element x y z (fractional)
Ba (0.000, 0.000, 0.000)
Ta (0.000, 0.000, 0.500)
Ta (0.000, 0.500, 0.000)
Ta (0.500, 0.000, 0.000)

Values from the calculation:
relative energy among the computed polymorphs	3.394	eV/atom